# 1
# Nd5DyTm (PBE, relaxed)
# Formation energy ... 0.981 eV/atom
# Total DFT energy (no corrections) ... -3.721 eV per atom
data_Nd5DyTm
_cell_length_a 5.913
_cell_length_b 8.849
_cell_length_c 12.167
_cell_angle_alpha 90.00
_cell_angle_beta 90.00
_cell_angle_gamma 90.00
_symmetry_space_group_name_H-M 'I m m m'
_symmetry_Int_Tables_number 71
_symmetry_space_group_name_Hall '-I 2 2'
loop_
_atom_site_label
_atom_site_fract_x
_atom_site_fract_y
_atom_site_fract_z
_atom_site_occupancy
Nd1 0.000 0.000 0.000 1
Nd2 0.000 0.177 0.500 1
Nd3 0.000 0.500 0.252 1
Dy1 0.000 0.500 0.000 1
Tm1 0.000 0.500 0.500 1

# 2
# Ac2ErGe4Pt3 (PBE, relaxed)
# Formation energy ... -0.939 eV/atom
# Total DFT energy (no corrections) ... -5.876 eV per atom
data_Ac2ErGe4Pt3
_cell_length_a 4.429
_cell_length_b 4.429
_cell_length_c 11.289
_cell_angle_alpha 90.00
_cell_angle_beta 90.00
_cell_angle_gamma 90.00
_symmetry_space_group_name_H-M 'P -4 m 2'
_symmetry_Int_Tables_number 115
_symmetry_space_group_name_Hall 'P -4 -2'
loop_
_atom_site_label
_atom_site_fract_x
_atom_site_fract_y
_atom_site_fract_z
_atom_site_occupancy
Ac1 0.000 0.500 0.233 1
Er1 0.000 0.000 0.500 1
Ge1 0.000 0.000 0.000 1
Ge2 0.000 0.500 0.657 1
Ge3 0.500 0.500 0.000 1
Pt1 0.000 0.500 0.884 1
Pt2 0.500 0.500 0.500 1